Rb2RuI6N after structural relaxation, computed with PBE-GGA.

Output
ΔE_f (raw): -0.090 eV per atom
Space group: I4/mmm (139)

a = 7.548 Å, b = 7.548 Å, c = 8.250 Å
α = 62.78°, β = 62.78°, γ = 90.00°
Site moments in Bohr magnetons follow the coordinates.
Positions (direct):
Ru1 0.000 0.000 0.000  1.27
I1 0.739 0.739 0.000  0.04
I2 0.261 0.739 0.000  0.04
I3 0.785 0.785 0.431  0.03
I4 0.261 0.261 0.000  0.04
I5 0.739 0.261 0.000  0.04
I6 0.215 0.215 0.569  0.03
Rb1 0.750 0.250 0.500  0.00
Rb2 0.250 0.750 0.500  0.00
N1 0.500 0.500 0.000  0.65

***

Co2HRh after structural relaxation, computed with PBE-GGA.

Output
Space group: R3m (160)
Energy relative to the lowest polymorph listed for this composition: 10 meV/atom

a = 2.654 Å, b = 2.654 Å, c = 6.481 Å
α = 78.18°, β = 78.18°, γ = 60.00°
Site moments in Bohr magnetons follow the coordinates.
Positions (direct):
H1 0.667 0.667 0.000  -0.02
Co1 0.279 0.279 0.164  1.58
Co2 0.055 0.055 0.834  1.60
Rh1 0.499 0.499 0.502  0.70

***

LaZnCl after structural relaxation, computed with PBE-GGA.

Output
ΔE_f (raw): -0.784 eV per atom
Space group: P-6m2 (187)
Energy relative to the lowest polymorph listed for this composition: 436 meV/atom

a = 4.948 Å, b = 4.948 Å, c = 3.789 Å
α = 90.00°, β = 90.00°, γ = 120.00°
Site moments in Bohr magnetons follow the coordinates.
Positions (direct):
La1 0.333 0.667 0.166  0.06
Cl1 0.000 0.000 0.167  0.00
Zn1 0.667 0.333 0.667  0.01

***

ScReP2 after structural relaxation, computed with PBE-GGA.

Output
Space group: F-43m (216)
Energy relative to the lowest polymorph listed for this composition: 839 meV/atom

a = 4.397 Å, b = 4.397 Å, c = 4.397 Å
α = 60.00°, β = 60.00°, γ = 60.00°
Positions (direct):
P1 0.000 0.000 0.000
P2 0.250 0.250 0.250
Sc1 0.750 0.750 0.750
Re1 0.500 0.500 0.500

***

CaCeEr2Sb4 after structural relaxation, computed with PBE-GGA.

Output
ΔE_f (raw): -1.028 eV per atom
Space group: P2/m (10)

a = 4.430 Å, b = 7.686 Å, c = 7.634 Å
α = 70.82°, β = 90.00°, γ = 90.00°
Site moments in Bohr magnetons follow the coordinates.
Positions (direct):
Sb1 0.000 0.243 0.250  -0.01
Sb2 0.000 0.757 0.750  -0.01
Sb3 0.500 0.758 0.243  -0.01
Sb4 0.500 0.242 0.757  -0.01
Er1 0.500 0.000 0.500  -0.02
Er2 0.000 0.000 0.000  -0.01
Ce1 0.500 0.500 0.000  0.34
Ca1 0.000 0.500 0.500  0.00

***

NaInGa2Tc after structural relaxation, computed with PBE-GGA.

Output
Space group: P4/mmm (123)

a = 4.881 Å, b = 4.881 Å, c = 5.194 Å
α = 90.00°, β = 90.00°, γ = 90.00°
Positions (direct):
Ga1 0.500 0.000 0.000
Ga2 0.000 0.500 0.000
Tc1 0.000 0.000 0.000
In1 0.000 0.000 0.500
Na1 0.500 0.500 0.500

***

LaPmGdTm after structural relaxation, computed with PBE-GGA.

Output
Space group: F-43m (216)

a = 5.768 Å, b = 5.768 Å, c = 5.768 Å
α = 60.00°, β = 60.00°, γ = 60.00°
Site moments in Bohr magnetons follow the coordinates.
Positions (direct):
Tm1 0.500 0.500 0.500  -0.12
La1 0.250 0.250 0.250  -0.08
Pm1 0.000 0.000 0.000  -0.16
Gd1 0.750 0.750 0.750  -7.29

***

RbPb12 after structural relaxation, computed with PBE-GGA.

Output
Space group: Fm-3m (225)
Energy relative to the lowest polymorph listed for this composition: 249 meV/atom

a = 9.580 Å, b = 9.580 Å, c = 9.580 Å
α = 60.00°, β = 60.00°, γ = 60.00°
Positions (direct):
Rb1 0.000 0.000 0.000
Pb1 0.500 0.164 0.500
Pb2 0.500 0.836 0.500
Pb3 0.164 0.500 0.836
Pb4 0.500 0.836 0.164
Pb5 0.836 0.164 0.500
Pb6 0.164 0.836 0.500
Pb7 0.836 0.500 0.164
Pb8 0.500 0.500 0.164
Pb9 0.500 0.500 0.836
Pb10 0.836 0.500 0.500
Pb11 0.500 0.164 0.836
Pb12 0.164 0.500 0.500

***

PrHoAl after structural relaxation, computed with PBE-GGA.

Output
Space group: P3m1 (156)
Energy relative to the lowest polymorph listed for this composition: 80 meV/atom

a = 3.681 Å, b = 5.131 Å, c = 5.131 Å
α = 120.00°, β = 90.00°, γ = 90.00°
Positions (direct):
Al1 0.621 0.667 0.333
Ho1 0.410 0.333 0.667
Pr1 0.969 0.000 0.000

***

NaSm5Au6 after structural relaxation, computed with PBE-GGA.

Output
Space group: Immm (71)

a = 5.152 Å, b = 7.371 Å, c = 8.950 Å
α = 114.32°, β = 106.73°, γ = 90.00°
Positions (direct):
Au1 0.500 0.271 0.000
Au2 0.500 0.729 0.000
Au3 0.176 0.440 0.352
Au4 0.176 0.912 0.352
Au5 0.824 0.088 0.648
Au6 0.824 0.560 0.648
Sm1 0.330 0.330 0.661
Sm2 0.670 0.670 0.339
Sm3 0.655 0.155 0.309
Sm4 0.345 0.845 0.691
Sm5 0.000 0.500 0.000
Na1 0.000 0.000 0.000

***

MnNiCl2 after structural relaxation, computed with PBE-GGA.

Output
ΔE_f (raw): -0.390 eV per atom
Space group: R3m (160)
Energy relative to the lowest polymorph listed for this composition: 0 meV/atom

a = 8.228 Å, b = 8.228 Å, c = 8.228 Å
α = 23.66°, β = 23.66°, γ = 23.66°
Site moments in Bohr magnetons follow the coordinates.
Positions (direct):
Ni1 0.757 0.757 0.757  -0.57
Cl1 0.217 0.217 0.217  0.04
Cl2 0.038 0.038 0.038  -0.11
Mn1 0.488 0.488 0.488  3.53

***

CaBe3As3 after structural relaxation, computed with PBE-GGA.

Output
Space group: P6_3/m (176)

a = 3.852 Å, b = 8.982 Å, c = 8.980 Å
α = 120.01°, β = 90.00°, γ = 90.00°
Positions (direct):
As1 0.250 0.091 0.393
As2 0.750 0.909 0.607
As3 0.750 0.393 0.302
As4 0.250 0.302 0.909
As5 0.750 0.698 0.091
As6 0.250 0.607 0.698
Ca1 0.750 0.333 0.667
Ca2 0.250 0.667 0.333
Be1 0.750 0.644 0.591
Be2 0.250 0.053 0.644
Be3 0.750 0.947 0.356
Be4 0.750 0.409 0.053
Be5 0.250 0.591 0.947
Be6 0.250 0.356 0.409

***

Table of electronic total energy (eV/atom), in record order: -2.97, -6.20, -3.47, -7.29, -5.22, -4.11, -6.94, -3.27, -4.50, -4.45, -5.05, -4.25